Entry 1:
Material: Pr7Nd2Ho2
Method: DFT, PBE
State: relaxed

Cell: 6.958 6.958 8.470 Å, 101.10 101.10 87.12°
Positions (direct):
Pr: 0.000 0.000 0.000
Pr: 0.096 0.503 0.821
Pr: 0.283 0.283 0.474
Pr: 0.497 0.904 0.179
Pr: 0.503 0.096 0.821
Pr: 0.717 0.717 0.526
Pr: 0.904 0.497 0.179
Nd: 0.417 0.417 0.175
Nd: 0.583 0.583 0.825
Ho: 0.206 0.794 0.500
Ho: 0.794 0.206 0.500

Computed properties:
As for the total energy: -4.579 eV per atom. The calculation puts the total magnetic moment at 0.000 μB/atom.



Entry 2:
Material: Pr4Nd3Ho2
Method: DFT, PBE
State: relaxed

Cell: 3.653 3.653 27.364 Å, 90.00 90.00 120.00°
Positions (direct):
Pr: 0.000 0.000 0.000
Pr: 0.000 0.000 0.222
Pr: 0.333 0.667 0.334
Pr: 0.333 0.667 0.558
Nd: 0.000 0.000 0.445
Nd: 0.333 0.667 0.108
Nd: 0.333 0.667 0.772
Ho: 0.000 0.000 0.664
Ho: 0.000 0.000 0.875

Computed properties:
As for the total energy: -4.661 eV per atom. The calculation puts the total magnetic moment at 0.000 μB/atom.



Sequential formation energy from the elements output: 161.5 70.2 meV per atom